No. 1
Density functional theory data (PBE) for an optimized crystal structure of BaHfAlAg2.

* SG: P4/mmm
* energy of formation: 0.361 eV/atom

Cell: 5.051 5.312 5.051 Å, 90.00 90.00 90.00°
Site moments in Bohr magnetons follow the coordinates.
Positions (direct):
Al: 0.000 0.000 0.000  0.03
Ag: 0.000 0.000 0.500  0.01
Ag: 0.500 0.000 0.000  0.01
Hf: 0.000 0.500 0.000  0.54
Ba: 0.500 0.500 0.500  0.08

No. 2
Density functional theory data (PBE) for an optimized crystal structure of Nd15Sm4Tm.

* SG: P4/mmm
* energy of formation: 0.013 eV/atom

Cell: 5.183 5.183 25.835 Å, 90.00 90.00 90.00°
Positions (direct):
Nd: 0.500 0.500 0.600
Nd: 0.000 0.500 0.701
Nd: 0.000 0.500 0.901
Nd: 0.500 0.000 0.099
Nd: 0.500 0.000 0.299
Nd: 0.000 0.500 0.099
Nd: 0.000 0.500 0.299
Nd: 0.500 0.000 0.901
Nd: 0.500 0.500 0.199
Nd: 0.500 0.000 0.500
Nd: 0.500 0.500 0.400
Nd: 0.500 0.500 0.801
Nd: 0.500 0.000 0.701
Nd: 0.500 0.500 0.000
Nd: 0.000 0.500 0.500
Sm: 0.000 0.000 0.400
Sm: 0.000 0.000 0.600
Sm: 0.000 0.000 0.801
Sm: 0.000 0.000 0.199
Tm: 0.000 0.000 0.000

No. 3
Density functional theory data (PBE) for an optimized crystal structure of Hf3P.

* SG: P4_2/n
* polymorph energy (0 for the lowest one): 0.00 kcal/mol of atoms
* energy of formation: -0.796 eV/atom

Cell: 10.706 10.706 5.309 Å, 90.00 90.00 90.00°
Positions (direct):
Hf: 0.681 0.784 0.488
Hf: 0.584 0.892 0.968
Hf: 0.362 0.473 0.779
Hf: 0.108 0.584 0.032
Hf: 0.819 0.716 0.012
Hf: 0.916 0.608 0.532
Hf: 0.892 0.416 0.032
Hf: 0.862 0.973 0.721
Hf: 0.716 0.181 0.988
Hf: 0.319 0.216 0.488
Hf: 0.608 0.084 0.468
Hf: 0.473 0.638 0.221
Hf: 0.638 0.527 0.779
Hf: 0.181 0.284 0.012
Hf: 0.027 0.862 0.279
Hf: 0.973 0.138 0.279
Hf: 0.527 0.362 0.221
Hf: 0.216 0.681 0.512
Hf: 0.284 0.819 0.988
Hf: 0.138 0.027 0.721
Hf: 0.392 0.916 0.468
Hf: 0.416 0.108 0.968
Hf: 0.784 0.319 0.512
Hf: 0.084 0.392 0.532
P: 0.794 0.960 0.214
P: 0.540 0.294 0.714
P: 0.206 0.040 0.214
P: 0.706 0.540 0.286
P: 0.040 0.794 0.786
P: 0.960 0.206 0.786
P: 0.294 0.460 0.286
P: 0.460 0.706 0.714

No. 4
Density functional theory data (PBE) for an optimized crystal structure of Hg2RuPb.

* SG: I4/mmm
* energy of formation: 0.477 eV/atom

Cell: 5.699 5.699 5.699 Å, 137.55 137.55 61.59°
Positions (direct):
Hg: 0.500 0.500 0.000
Hg: 0.000 0.000 0.000
Ru: 0.750 0.250 0.500
Pb: 0.250 0.750 0.500

No. 5
Density functional theory data (PBE) for an optimized crystal structure of Mg2AlSe.

* SG: C2/m
* E_form (uncorrected): -0.2306 eV/atom
* polymorph energy (0 for the lowest one): 3.82 kcal/mol of atoms

Cell: 4.769 4.769 5.699 Å, 71.72 71.72 44.81°
Positions (direct):
Mg: 0.014 0.014 0.007
Mg: 0.486 0.486 0.493
Al: 0.250 0.250 0.250
Se: 0.750 0.750 0.750

No. 6
Density functional theory data (PBE) for an optimized crystal structure of Ta2HgW.

* SG: R3m
* energy of formation: 0.468 eV/atom

Cell: 10.211 10.211 10.211 Å, 16.42 16.42 16.42°
Positions (direct):
Ta: 0.999 0.999 0.999
Ta: 0.249 0.249 0.249
W: 0.501 0.501 0.501
Hg: 0.751 0.751 0.751

D(E_F) in states/eV/f.u., matching the order above: 4.22, 28.81, 2.47, 1.71, 1.77, 3.00
Raw total energy in eV/atom, matching the order above: -3.903, -4.730, -9.614, -2.920, -2.835, -8.772
Total moment in μB/atom, matching the order above: 0.23, 0.00, 0.00, 0.00, 0.00, 0.00